No. 1
# DyThCoPd

An optimized crystal structure of DyThCoPd (PBE, Alexandria).

Unit cell a=3.799 b=3.999 c=6.039 alpha=90.00 beta=108.33 gamma=90.00
Element x y z (fractional)
1 Dy 0.148 0.000 0.297
2 Th 0.868 0.500 0.737
3 Co 0.401 0.000 0.802
4 Pd 0.582 0.500 0.164

Its formation energy from the elements is -2.3 eV per formula unit. The space group is Amm2, No. 38. The value obtained for the total DFT energy (no corrections) is -6.663 eV per atom.



No. 2
# LiCaI2O8

An optimized crystal structure of LiCaI2O8 (PBE, Alexandria).

Unit cell a=6.280 b=6.280 c=6.280 alpha=106.45 beta=106.45 gamma=115.70
Element x y z (fractional)
1 Li 0.250 0.750 0.500
2 Ca 0.000 0.000 0.000
3 I 0.750 0.250 0.500
4 I 0.500 0.500 0.000
5 O 0.386 0.072 0.313
6 O 0.322 0.508 0.186
7 O 0.322 0.136 0.814
8 O 0.759 0.072 0.687
9 O 0.864 0.678 0.186
10 O 0.928 0.241 0.313
11 O 0.928 0.614 0.687
12 O 0.492 0.678 0.814

The space group is I-4m2, No. 119. The value obtained for the total DFT energy (no corrections) is -4.713 eV per atom.



No. 3
# SbNCl

An optimized crystal structure of SbNCl (PBE, Alexandria).

Unit cell a=3.849 b=4.493 c=8.522 alpha=105.28 beta=103.05 gamma=90.00
Element x y z (fractional)
1 Cl 0.650 0.150 0.300
2 Cl 0.350 0.850 0.700
3 N 0.670 0.500 0.000
4 N 0.330 0.500 0.000
5 Sb 0.107 0.607 0.214
6 Sb 0.893 0.393 0.786

The space group is Immm, No. 71. The value obtained for the total DFT energy (no corrections) is -4.786 eV per atom.



No. 4
# Ac4LaEr

An optimized crystal structure of Ac4LaEr (PBE, Alexandria).

Unit cell a=7.167 b=7.167 c=7.167 alpha=60.00 beta=60.00 gamma=60.00
Element x y z (fractional)
1 Ac 0.626 0.626 0.123
2 Ac 0.626 0.123 0.626
3 Ac 0.626 0.626 0.626
4 Ac 0.123 0.626 0.626
5 La 0.250 0.250 0.250
6 Er 0.000 0.000 0.000

Its formation energy from the elements is 2.0 eV per formula unit. The space group is F-43m, No. 216. The value obtained for the total DFT energy (no corrections) is -3.984 eV per atom.



No. 5
# PmTiCuPd

An optimized crystal structure of PmTiCuPd (PBE, Alexandria).

Unit cell a=4.790 b=4.790 c=4.790 alpha=60.00 beta=60.00 gamma=60.00
Element x y z (fractional)
1 Ti 0.250 0.250 0.250
2 Cu 0.500 0.500 0.500
3 Pd 0.000 0.000 0.000
4 Pm 0.750 0.750 0.750

Its formation energy from the elements is -0.8 eV per formula unit. The space group is F-43m, No. 216. The value obtained for the total DFT energy (no corrections) is -5.678 eV per atom.



No. 6
# K2SiF

An optimized crystal structure of K2SiF (PBE, Alexandria).

Unit cell a=7.586 b=7.586 c=6.968 alpha=57.02 beta=57.02 gamma=90.00
Element x y z (fractional)
1 K 0.526 0.125 0.250
2 K 0.224 0.625 0.250
3 K 0.375 0.474 0.750
4 K 0.875 0.776 0.750
5 Si 0.000 0.000 0.000
6 Si 0.750 0.250 0.500
7 F 0.500 0.500 0.000
8 F 0.250 0.750 0.500

The space group is I-42d, No. 122. The value obtained for the total DFT energy (no corrections) is -3.123 eV per atom.



No. 7
# HfMnTe2N

An optimized crystal structure of HfMnTe2N (PBE, Alexandria).

Unit cell a=5.714 b=5.714 c=3.977 alpha=90.00 beta=90.00 gamma=90.00
Element x y z (fractional)
1 Te 0.000 0.500 0.000
2 Te 0.500 0.000 0.000
3 Hf 0.000 0.000 0.000
4 Mn 0.500 0.500 0.500
5 N 0.000 0.000 0.500

The space group is P4/mmm, No. 123. The value obtained for the total DFT energy (no corrections) is -6.567 eV per atom.



No. 8
# Pu2CdCu3Ge4

An optimized crystal structure of Pu2CdCu3Ge4 (PBE, Alexandria).

Unit cell a=4.233 b=4.233 c=10.392 alpha=90.00 beta=90.00 gamma=90.00
Element x y z (fractional)
1 Pu 0.500 0.000 0.234
2 Pu 0.000 0.500 0.766
3 Cd 0.500 0.500 0.500
4 Cu 0.000 0.000 0.500
5 Cu 0.500 0.000 0.880
6 Cu 0.000 0.500 0.120
7 Ge 0.500 0.500 0.000
8 Ge 0.000 0.000 0.000
9 Ge 0.500 0.000 0.654
10 Ge 0.000 0.500 0.346

Its formation energy from the elements is -2.4 eV per formula unit. The space group is P-4m2, No. 115. The value obtained for the total DFT energy (no corrections) is -6.276 eV per atom.



No. 9
# Sr3LiGa2O6

An optimized crystal structure of Sr3LiGa2O6 (PBE, Alexandria).

Unit cell a=5.847 b=5.847 c=6.469 alpha=90.00 beta=90.00 gamma=120.00
Element x y z (fractional)
1 Sr 0.333 0.667 0.635
2 Sr 0.667 0.333 0.365
3 Sr 0.000 0.000 0.000
4 Li 0.000 0.000 0.500
5 Ga 0.667 0.333 0.817
6 Ga 0.333 0.667 0.183
7 O 0.665 0.832 0.292
8 O 0.168 0.335 0.292
9 O 0.168 0.832 0.292
10 O 0.832 0.665 0.708
11 O 0.335 0.168 0.708
12 O 0.832 0.168 0.708

The space group is P-3m1, No. 164. The value obtained for the total DFT energy (no corrections) is -5.586 eV per atom.



No. 10
# ErNbTe2

An optimized crystal structure of ErNbTe2 (PBE, Alexandria).

Unit cell a=4.094 b=4.094 c=9.591 alpha=77.68 beta=77.68 gamma=60.00
Element x y z (fractional)
1 Nb 0.000 0.000 0.000
2 Te 0.100 0.100 0.701
3 Te 0.900 0.900 0.299
4 Er 0.500 0.500 0.500

The space group is R-3m, No. 166. The value obtained for the total DFT energy (no corrections) is -5.243 eV per atom.



No. 11
# Ta2AlTl

An optimized crystal structure of Ta2AlTl (PBE, Alexandria).

Unit cell a=2.968 b=2.968 c=8.515 alpha=90.00 beta=90.00 gamma=95.92
Element x y z (fractional)
1 Tl 0.500 0.500 0.250
2 Al 0.500 0.500 0.750
3 Ta 0.000 0.000 0.975
4 Ta 0.000 0.000 0.525

Its formation energy from the elements is 0.9 eV per formula unit. The space group is Cmmm, No. 65. The value obtained for the total DFT energy (no corrections) is -7.238 eV per atom.



No. 12
# YCoIr2

An optimized crystal structure of YCoIr2 (PBE, Alexandria).

Unit cell a=9.052 b=9.052 c=9.052 alpha=18.51 beta=18.51 gamma=18.51
Element x y z (fractional)
1 Co 0.750 0.750 0.750
2 Ir 0.009 0.009 0.009
3 Ir 0.491 0.491 0.491
4 Y 0.250 0.250 0.250

Its formation energy from the elements is 1.1 eV per formula unit. The space group is R-3m, No. 166. The value obtained for the total DFT energy (no corrections) is -7.559 eV per atom.



No. 13
# Tl3VFe

An optimized crystal structure of Tl3VFe (PBE, Alexandria).

Unit cell a=5.349 b=5.349 c=5.349 alpha=90.00 beta=90.00 gamma=90.00
Element x y z (fractional)
1 Tl 0.000 0.500 0.000
2 Tl 0.000 0.000 0.500
3 Tl 0.500 0.000 0.000
4 Fe 0.500 0.500 0.500
5 V 0.000 0.000 0.000

Its formation energy from the elements is 5.6 eV per formula unit. The space group is Pm-3m, No. 221. The value obtained for the total DFT energy (no corrections) is -3.823 eV per atom.



No. 14
# KZr2Tc

An optimized crystal structure of KZr2Tc (PBE, Alexandria).

Unit cell a=3.655 b=3.653 c=8.604 alpha=90.00 beta=90.00 gamma=90.00
Element x y z (fractional)
1 K 0.000 0.000 0.533
2 Tc 0.500 0.500 0.857
3 Zr 0.000 0.000 0.954
4 Zr 0.500 0.500 0.156

Its formation energy from the elements is 1.8 eV per formula unit. The space group is P4mm, No. 99. The value obtained for the total DFT energy (no corrections) is -6.700 eV per atom.



No. 15
# ReAs2BrN

An optimized crystal structure of ReAs2BrN (PBE, Alexandria).

Unit cell a=4.275 b=4.275 c=4.281 alpha=90.00 beta=90.00 gamma=90.00
Element x y z (fractional)
1 Re 0.500 0.500 0.500
2 As 0.000 0.500 0.000
3 As 0.500 0.000 0.000
4 Br 0.000 0.000 0.500
5 N 0.000 0.000 0.000

The space group is P4/mmm, No. 123. The value obtained for the total DFT energy (no corrections) is -4.868 eV per atom.



No. 16
# ZrScCu

An optimized crystal structure of ZrScCu (PBE, Alexandria).

Unit cell a=7.935 b=5.369 c=3.166 alpha=72.80 beta=90.04 gamma=113.29
Element x y z (fractional)
1 Sc 0.606 0.136 0.603
2 Sc 0.817 0.798 0.272
3 Zr 0.423 0.492 0.925
4 Zr 0.225 0.825 0.257
5 Cu 0.097 0.201 0.571
6 Cu 0.934 0.421 0.960

Its formation energy from the elements is -0.2 eV per formula unit. The space group is Cm, No. 8. The value obtained for the total DFT energy (no corrections) is -6.392 eV per atom.



No. 17
# CeDyMg

An optimized crystal structure of CeDyMg (PBE, Alexandria).

Unit cell a=3.381 b=3.381 c=14.679 alpha=90.00 beta=90.00 gamma=90.00
Element x y z (fractional)
1 Dy 0.000 0.500 0.587
2 Dy 0.500 0.000 0.413
3 Mg 0.500 0.000 0.750
4 Mg 0.000 0.500 0.250
5 Ce 0.000 0.500 0.916
6 Ce 0.500 0.000 0.084

Its formation energy from the elements is 0.1 eV per formula unit. The space group is P4/nmm, No. 129. The value obtained for the total DFT energy (no corrections) is -4.016 eV per atom.



No. 18
# U2TiMn2C4

An optimized crystal structure of U2TiMn2C4 (PBE, Alexandria).

Unit cell a=3.061 b=6.581 c=5.605 alpha=104.21 beta=90.00 gamma=103.45
Element x y z (fractional)
1 U 0.876 0.751 0.466
2 U 0.124 0.249 0.534
3 Ti 0.000 0.000 0.000
4 Mn 0.322 0.645 0.980
5 Mn 0.678 0.355 0.020
6 C 0.766 0.532 0.775
7 C 0.234 0.468 0.225
8 C 0.463 0.925 0.241
9 C 0.537 0.075 0.759

Its formation energy from the elements is -1.6 eV per formula unit. The space group is C2/m, No. 12. The value obtained for the total DFT energy (no corrections) is -9.697 eV per atom.



No. 19
# SrMoSe2

An optimized crystal structure of SrMoSe2 (PBE, Alexandria).

Unit cell a=4.860 b=4.860 c=4.860 alpha=60.00 beta=60.00 gamma=60.00
Element x y z (fractional)
1 Sr 0.000 0.000 0.000
2 Mo 0.500 0.500 0.500
3 Se 0.250 0.250 0.250
4 Se 0.750 0.750 0.750

The space group is Fm-3m, No. 225. The value obtained for the total DFT energy (no corrections) is -5.300 eV per atom.



No. 20
# PaCd2GeO6

An optimized crystal structure of PaCd2GeO6 (PBE, Alexandria).

Unit cell a=4.566 b=5.581 c=5.581 alpha=90.00 beta=90.00 gamma=90.00
Element x y z (fractional)
1 Pa 0.628 0.500 0.500
2 Cd 0.054 0.500 0.000
3 Cd 0.054 0.000 0.500
4 Ge 0.588 0.000 0.000
5 O 0.694 0.232 0.232
6 O 0.694 0.232 0.768
7 O 0.147 0.500 0.500
8 O 0.201 0.000 0.000
9 O 0.694 0.768 0.768
10 O 0.694 0.768 0.232

The space group is P4mm, No. 99. The value obtained for the total DFT energy (no corrections) is -6.400 eV per atom.